No. 1
Entry from Alexandria via LeMat-Bulk: an optimized crystal structure of NbCoN2 (PBE).

Results
- Calculated total energy: -8.27 eV/atom
- Uncorrected formation energy: 182 meV/atom

Cell lengths 3.7599, 3.7599, 3.7599 Å; angles 60.00, 60.00, 60.00 degrees
Closest atoms and distances in Å follow each position.
Positions (direct):
Nb 0.0000 0.0000 0.0000  8 N 2.30
Co 0.5000 0.5000 0.5000  8 N 2.30
N 0.2500 0.2500 0.2500  4 Nb 2.30, 4 Co 2.30
N 0.7500 0.7500 0.7500  4 Nb 2.30, 4 Co 2.30


No. 2
Entry from Alexandria via LeMat-Bulk: an optimized crystal structure of NbCo3N (PBE).

Results
- Offset from the most stable computed form: 0.0 meV/atom
- Calculated total energy: -7.89 eV/atom
- Uncorrected formation energy: 55 meV/atom

Cell lengths 3.8211, 3.8211, 3.8211 Å; angles 90.00, 90.00, 90.00 degrees
Closest atoms and distances in Å follow each position.
Positions (direct):
Nb 0.0000 0.0000 0.0000  12 Co 2.70
Co 0.0000 0.5000 0.5000  2 N 1.91
Co 0.5000 0.0000 0.5000  2 N 1.91
Co 0.5000 0.5000 0.0000  2 N 1.91
N 0.5000 0.5000 0.5000  6 Co 1.91


No. 3
Entry from Alexandria via LeMat-Bulk: an optimized crystal structure of NbCo3N (PBE).

Results
- Offset from the most stable computed form: 2501.8 meV/atom
- Calculated total energy: -5.39 eV/atom
- Uncorrected formation energy: 2557 meV/atom

Cell lengths 4.4941, 4.4941, 4.4941 Å; angles 90.00, 90.00, 90.00 degrees
Closest atoms and distances in Å follow each position.
Positions (direct):
Nb 0.0000 0.0000 0.0000  6 Co 2.25
Co 0.0000 0.0000 0.5000  2 Nb 2.25
Co 0.0000 0.5000 0.0000  2 Nb 2.25
Co 0.5000 0.0000 0.0000  2 Nb 2.25
N 0.5000 0.5000 0.5000  12 Co 3.18


No. 4
Entry from Alexandria via LeMat-Bulk: an optimized crystal structure of NbCoN3 (PBE).

Results
- Calculated total energy: -7.39 eV/atom
- Uncorrected formation energy: 1044 meV/atom

Cell lengths 4.0332, 4.0332, 4.0332 Å; angles 90.00, 90.00, 90.00 degrees
Closest atoms and distances in Å follow each position.
Positions (direct):
Nb 0.0000 0.0000 0.0000  6 N 2.02
Co 0.5000 0.5000 0.5000  12 N 2.85
N 0.0000 0.0000 0.5000  2 Nb 2.02
N 0.0000 0.5000 0.0000  2 Nb 2.02
N 0.5000 0.0000 0.0000  2 Nb 2.02


No. 5
Entry from Alexandria via LeMat-Bulk: an optimized crystal structure of NbCoN2 (PBE).

Results
- Calculated total energy: -8.69 eV/atom
- Uncorrected formation energy: -235 meV/atom

Cell lengths 5.9135, 5.9135, 5.9135 Å; angles 30.42, 30.42, 30.42 degrees
Closest atoms and distances in Å follow each position.
Positions (direct):
Nb 0.0000 0.0000 0.0000  3 N 2.06
Co 0.7874 0.7874 0.7874  3 N 1.88
N 0.4209 0.4209 0.4209  3 Co 1.88
N 0.6065 0.6065 0.6065  3 Nb 2.06


No. 6
Entry from Alexandria via LeMat-Bulk: an optimized crystal structure of Nb8Co2N (PBE).

Results
- Calculated total energy: -9.40 eV/atom
- Uncorrected formation energy: -28 meV/atom

Cell lengths 7.5138, 7.5138, 5.6218 Å; angles 106.22, 106.22, 35.31 degrees
Closest atoms and distances in Å follow each position.
Positions (direct):
Nb 0.0128 0.0128 0.2601  1 Co 2.63, 2 N 2.68, 6 Nb 2.75-2.88
Nb 0.2097 0.2097 0.7767  1 Co 2.40
Nb 0.3657 0.3657 0.5443  1 N 2.01
Nb 0.4099 0.4099 0.0753  1 N 2.36
Nb 0.5901 0.5901 0.9247  1 N 2.36
Nb 0.6343 0.6343 0.4557  1 N 2.01
Nb 0.7903 0.7903 0.2233  1 Co 2.40
Nb 0.9872 0.9872 0.7399  1 Co 2.63, 2 N 2.68, 6 Nb 2.75-2.88
Co 0.1853 0.1853 0.1815  2 Nb 2.40-2.63
Co 0.8147 0.8147 0.8185  2 Nb 2.40-2.63
N 0.5000 0.5000 0.5000  2 Nb 2.01


No. 7
Entry from Alexandria via LeMat-Bulk: an optimized crystal structure of Nb3Co3N (PBE).

Results
- Calculated total energy: -9.01 eV/atom
- Uncorrected formation energy: -458 meV/atom

Cell lengths 7.9864, 7.9864, 7.9864 Å; angles 60.00, 60.00, 60.00 degrees
Closest atoms and distances in Å follow each position.
Positions (direct):
Nb 0.0760 0.0760 0.6740  2 N 2.17
Nb 0.0760 0.6740 0.0760  2 N 2.17
Nb 0.0760 0.6740 0.6740  2 N 2.17
Nb 0.3260 0.3260 0.9240  2 N 2.17
Nb 0.3260 0.9240 0.3260  2 N 2.17
Nb 0.3260 0.9240 0.9240  2 N 2.17
Nb 0.6740 0.0760 0.0760  2 N 2.17
Nb 0.6740 0.0760 0.6740  2 N 2.17
Nb 0.6740 0.6740 0.0760  2 N 2.17
Nb 0.9240 0.3260 0.3260  2 N 2.17
Nb 0.9240 0.3260 0.9240  2 N 2.17
Nb 0.9240 0.9240 0.3260  2 N 2.17
Co 0.0000 0.5000 0.5000  6 Co 2.41
Co 0.2972 0.2972 0.2972  6 Co 2.41-2.49
Co 0.2972 0.2972 0.6085  6 Co 2.41-2.49
Co 0.2972 0.6085 0.2972  6 Co 2.41-2.49
Co 0.3915 0.7028 0.7028  6 Co 2.41-2.49
Co 0.5000 0.0000 0.5000  6 Co 2.41
Co 0.5000 0.5000 0.0000  6 Co 2.41
Co 0.5000 0.5000 0.5000  6 Co 2.41
Co 0.6085 0.2972 0.2972  6 Co 2.41-2.49
Co 0.7028 0.3915 0.7028  6 Co 2.41-2.49
Co 0.7028 0.7028 0.3915  6 Co 2.41-2.49
Co 0.7028 0.7028 0.7028  6 Co 2.41-2.49
N 0.0000 0.0000 0.0000  6 Nb 2.17
N 0.0000 0.0000 0.5000  6 Nb 2.17
N 0.0000 0.5000 0.0000  6 Nb 2.17
N 0.5000 0.0000 0.0000  6 Nb 2.17


No. 8
Entry from Alexandria via LeMat-Bulk: an optimized crystal structure of Nb2CoN (PBE).

Results
- Calculated total energy: -8.98 eV/atom
- Uncorrected formation energy: -91 meV/atom

Cell lengths 6.1126, 6.1126, 6.1126 Å; angles 130.25, 130.25, 73.01 degrees
Closest atoms and distances in Å follow each position.
Positions (direct):
Nb 0.0715 0.6250 0.9465  2 N 2.05
Nb 0.3750 0.3215 0.4465  2 N 2.05
Nb 0.6785 0.1250 0.0535  2 N 2.05
Nb 0.8750 0.9285 0.5535  2 N 2.05
Co 0.2500 0.7500 0.5000  4 Nb 2.37
Co 0.5000 0.5000 0.0000  4 Nb 2.37
N 0.0000 0.0000 0.0000  4 Nb 2.05
N 0.7500 0.2500 0.5000  4 Nb 2.05


No. 9
Entry from Alexandria via LeMat-Bulk: an optimized crystal structure of Nb2CoN (PBE).

Results
- Calculated total energy: -9.27 eV/atom
- Uncorrected formation energy: -375 meV/atom

Cell lengths 6.7709, 6.7709, 6.7709 Å; angles 26.44, 26.44, 26.44 degrees
Closest atoms and distances in Å follow each position.
Positions (direct):
Nb 0.2299 0.2299 0.2299  3 N 2.17
Nb 0.7701 0.7701 0.7701  3 N 2.17
Co 0.0000 0.0000 0.0000  6 Nb 2.70
N 0.5000 0.5000 0.5000  6 Nb 2.17


No. 10
Entry from Alexandria via LeMat-Bulk: an optimized crystal structure of Nb2Co2N (PBE).

Results
- Offset from the most stable computed form: 267.8 meV/atom
- Calculated total energy: -8.27 eV/atom
- Uncorrected formation energy: 269 meV/atom

Cell lengths 7.3674, 7.3674, 7.3674 Å; angles 156.19, 156.19, 33.92 degrees
Closest atoms and distances in Å follow each position.
Positions (direct):
Nb 0.0946 0.0946 0.0000  4 N 2.53, 1 Nb 2.67, 4 Co 2.67
Nb 0.9054 0.9054 0.0000  4 N 2.53, 1 Nb 2.67, 4 Co 2.67
Co 0.2500 0.7500 0.5000  4 Co 2.15
Co 0.7500 0.2500 0.5000  4 Co 2.15
N 0.5000 0.5000 0.0000  8 Nb 2.53


No. 11
Entry from Alexandria via LeMat-Bulk: an optimized crystal structure of NbCo2N (PBE).

Results
- Calculated total energy: -7.95 eV/atom
- Uncorrected formation energy: 203 meV/atom

Cell lengths 5.4085, 5.4085, 5.4085 Å; angles 123.33, 123.33, 84.33 degrees
Closest atoms and distances in Å follow each position.
Positions (direct):
Nb 0.0000 0.0000 0.0000  4 Co 2.48
Nb 0.7500 0.2500 0.5000  4 Co 2.48
Co 0.2389 0.6250 0.1139  2 N 1.77
Co 0.3750 0.4889 0.6139  2 N 1.77
Co 0.5111 0.1250 0.8861  2 N 1.77
Co 0.8750 0.7611 0.3861  2 N 1.77
N 0.2500 0.7500 0.5000  4 Co 1.77
N 0.5000 0.5000 0.0000  4 Co 1.77


No. 12
Entry from Alexandria via LeMat-Bulk: an optimized crystal structure of NbCoN3 (PBE).

Results
- Calculated total energy: -7.70 eV/atom
- Uncorrected formation energy: 735 meV/atom

Cell lengths 3.6068, 3.6068, 3.6068 Å; angles 90.00, 90.00, 90.00 degrees
Closest atoms and distances in Å follow each position.
Positions (direct):
Nb 0.0000 0.0000 0.0000  12 N 2.55
Co 0.5000 0.5000 0.5000  6 N 1.80
N 0.0000 0.5000 0.5000  2 Co 1.80
N 0.5000 0.0000 0.5000  2 Co 1.80
N 0.5000 0.5000 0.0000  2 Co 1.80


No. 13
Entry from Alexandria via LeMat-Bulk: an optimized crystal structure of Nb4Co2N (PBE).

Results
- Offset from the most stable computed form: 276.1 meV/atom
- Calculated total energy: -9.19 eV/atom
- Uncorrected formation energy: -215 meV/atom

Cell lengths 6.7708, 9.8171, 3.1300 Å; angles 90.00, 90.00, 90.00 degrees
Closest atoms and distances in Å follow each position.
Positions (direct):
Nb 0.1385 0.2003 0.0000  1 N 2.18
Nb 0.1985 0.9390 0.5000  2 N 2.15
Nb 0.3015 0.4390 0.5000  2 N 2.15
Nb 0.3615 0.7003 0.0000  1 N 2.18
Nb 0.6385 0.2997 0.0000  1 N 2.18
Nb 0.6985 0.5610 0.5000  2 N 2.15
Nb 0.8015 0.0610 0.5000  2 N 2.15
Nb 0.8615 0.7997 0.0000  1 N 2.18
Co 0.0555 0.6349 0.5000  6 Nb 2.52-2.67, 1 Co 2.75
Co 0.4445 0.1349 0.5000  6 Nb 2.52-2.67, 1 Co 2.75
Co 0.5555 0.8651 0.5000  6 Nb 2.52-2.67, 1 Co 2.75
Co 0.9445 0.3651 0.5000  6 Nb 2.52-2.67, 1 Co 2.75
N 0.0000 0.0000 0.0000  6 Nb 2.15-2.18
N 0.5000 0.5000 0.0000  6 Nb 2.15-2.18


No. 14
Entry from Alexandria via LeMat-Bulk: an optimized crystal structure of Nb4Co2N (PBE).

Results
- Offset from the most stable computed form: 0.0 meV/atom
- Calculated total energy: -9.46 eV/atom
- Uncorrected formation energy: -491 meV/atom

Cell lengths 8.2451, 8.2451, 8.2451 Å; angles 60.00, 60.00, 60.00 degrees
Closest atoms and distances in Å follow each position.
Positions (direct):
Nb 0.0000 0.0000 0.0000  6 Co 2.52
Nb 0.0000 0.0000 0.5000  6 Co 2.52
Nb 0.0000 0.5000 0.0000  6 Co 2.52
Nb 0.1892 0.1892 0.5608  2 N 2.18
Nb 0.1892 0.5608 0.1892  2 N 2.18
Nb 0.1892 0.5608 0.5608  2 N 2.18
Nb 0.4392 0.4392 0.8108  2 N 2.18
Nb 0.4392 0.8108 0.4392  2 N 2.18
Nb 0.4392 0.8108 0.8108  2 N 2.18
Nb 0.5000 0.0000 0.0000  6 Co 2.52
Nb 0.5608 0.1892 0.1892  2 N 2.18
Nb 0.5608 0.1892 0.5608  2 N 2.18
Nb 0.5608 0.5608 0.1892  2 N 2.18
Nb 0.8108 0.4392 0.4392  2 N 2.18
Nb 0.8108 0.4392 0.8108  2 N 2.18
Nb 0.8108 0.8108 0.4392  2 N 2.18
Co 0.1211 0.7930 0.7930  6 Nb 2.52-2.78, 3 Co 2.71
Co 0.2070 0.2070 0.2070  6 Nb 2.52-2.78, 3 Co 2.71
Co 0.2070 0.2070 0.8789  6 Nb 2.52-2.78, 3 Co 2.71
Co 0.2070 0.8789 0.2070  6 Nb 2.52-2.78, 3 Co 2.71
Co 0.7930 0.1211 0.7930  6 Nb 2.52-2.78, 3 Co 2.71
Co 0.7930 0.7930 0.1211  6 Nb 2.52-2.78, 3 Co 2.71
Co 0.7930 0.7930 0.7930  6 Nb 2.52-2.78, 3 Co 2.71
Co 0.8789 0.2070 0.2070  6 Nb 2.52-2.78, 3 Co 2.71
N 0.0000 0.5000 0.5000  6 Nb 2.18
N 0.5000 0.0000 0.5000  6 Nb 2.18
N 0.5000 0.5000 0.0000  6 Nb 2.18
N 0.5000 0.5000 0.5000  6 Nb 2.18


No. 15
Entry from Alexandria via LeMat-Bulk: an optimized crystal structure of Nb2CoNiN (PBE).

Results
- Calculated total energy: -8.63 eV/atom
- Uncorrected formation energy: -357 meV/atom

Cell lengths 4.2179, 4.2179, 3.6767 Å; angles 90.00, 90.00, 90.00 degrees
Closest atoms and distances in Å follow each position.
Positions (direct):
Nb 0.0000 0.5000 0.0000  2 N 2.11
Nb 0.5000 0.0000 0.0000  2 N 2.11
Co 0.0000 0.0000 0.5000  2 N 1.84
Ni 0.5000 0.5000 0.5000  8 Nb 2.80, 4 Co 2.98
N 0.0000 0.0000 0.0000  2 Co 1.84